Material: TlCr2RuF
Method: DFT, PBE with a Hubbard U
State: optimized geometry

Cell lengths 4.815, 5.333, 4.815 Å; angles 90.00, 90.00, 90.00 degrees
Last column: magnetic moment on the atom in μB.
Atoms (fractional coordinates):
Cr 0.000 0.000 0.500  3.79
Cr 0.500 0.000 0.000  4.23
Ru 0.000 0.000 0.000  -0.94
Tl 0.000 0.500 0.000  -0.01
F 0.500 0.500 0.500  0.07

Results
Space-group type ... No. 123
Uncorrected energy ... -5.252 eV/atom
Magnetization ... 8.01 Bohr magnetons per cell



Material: CrS2F
Method: DFT, PBE with a Hubbard U
State: optimized geometry

Cell lengths 8.543, 8.543, 8.543 Å; angles 19.38, 19.38, 19.38 degrees
Last column: magnetic moment on the atom in μB.
Atoms (fractional coordinates):
S 0.089 0.089 0.089  0.06
S 0.911 0.911 0.911  0.06
Cr 0.000 0.000 0.000  0.30
F 0.500 0.500 0.500  0.10

Results
Polymorph energy (0 for the lowest one) ... 1.4104 eV/atom
Space-group type ... No. 166
Uncorrected energy ... -3.533 eV/atom
Magnetization ... 0.60 Bohr magnetons per cell



Question: Which formula does entry 2 have?
Answer: CrS2F